{"formula": "Ac6AsSe2S3", "functional": "PBE", "state": "relaxed", "lattice_angstrom": [[-1.324, -6.708, 3.366], [3.000, 0.228, -7.002], [6.056, 2.275, 4.048]], "species": ["Ac", "Ac", "Ac", "Ac", "Ac", "Ac", "As", "Se", "Se", "S", "S", "S"], "fractional_positions": [[0.912, 0.584, 0.737], [0.759, 0.759, 0.262], [0.088, 0.416, 0.263], [0.584, 0.912, 0.737], [0.241, 0.241, 0.738], [0.416, 0.088, 0.263], [0.000, 0.000, 0.000], [0.333, 0.667, 0.000], [0.667, 0.333, 0.000], [0.167, 0.833, 0.500], [0.833, 0.167, 0.500], [0.500, 0.500, 0.500]], "sg": "C2/m", "energy_ev_per_fu": -71.35}

---

{"formula": "Cs3Rb5Na", "functional": "PBE", "state": "relaxed", "lattice_angstrom": [[5.349, 0.000, 0.000], [0.000, 11.615, -6.706], [0.000, 0.000, 13.411]], "species": ["Cs", "Cs", "Cs", "Rb", "Rb", "Rb", "Rb", "Rb", "Na"], "fractional_positions": [[0.000, 0.369, 0.369], [0.000, 0.000, 0.631], [0.000, 0.631, 0.000], [0.500, 0.333, 0.667], [0.500, 0.667, 0.333], [0.500, 0.261, 0.000], [0.500, 0.000, 0.261], [0.500, 0.739, 0.739], [0.000, 0.000, 0.000]], "sg": "P-62m", "formation_enthalpy_0k_ev_per_atom": 0.0180, "energy_ev_per_fu": -8.56}

---

Number 1: total magnetic moment 0.00 μB per formula unit. Number 2: total magnetic moment 0.00 μB per formula unit.